PuNpZnOs: relaxed, PBE-GGA.

Summary:
- Space-group type: F-43m, No. 216
- E_form: 32 meV per atom

a b c (Å): 6.621 6.621 6.621
angles (deg): 90.00 90.00 90.00
Atoms (fractional coordinates):
Pu1 0.000 0.000 0.000
Pu2 0.000 0.500 0.500
Pu3 0.500 0.000 0.500
Pu4 0.500 0.500 0.000
Np1 0.250 0.250 0.250
Np2 0.250 0.750 0.750
Np3 0.750 0.250 0.750
Np4 0.750 0.750 0.250
Zn1 0.250 0.250 0.750
Zn2 0.250 0.750 0.250
Zn3 0.750 0.250 0.250
Zn4 0.750 0.750 0.750
Os1 0.000 0.000 0.500
Os2 0.000 0.500 0.000
Os3 0.500 0.000 0.000
Os4 0.500 0.500 0.500